No. 1
Here is PrDy4Hg after structural relaxation from Alexandria via LeMat-Bulk. Energies are from PBE.

Output
Density   8.89 g cm⁻³
Space-group type   No. 15
Formation enthalpy at 0 K   -0.052 eV per atom
E above lowest polymorph   88.2 meV/atom
N(E_F)   1.408 states/eV/atom
Total energy   -47.61 eV per cell

POSCAR file:
```
PrDy4Hg
1.0
-0.5409 5.0878 -3.7936
4.3564 -6.8184 -3.9503
-7.9862 -1.6028 1.4286
Dy Hg Pr
8 2 2
Direct
0.7613 0.7136 0.6259
0.3646 0.9123 0.6259
0.6354 0.0877 0.3741
0.7667 0.3964 0.2316
0.0351 0.1648 0.7684
0.2333 0.6036 0.7684
0.9649 0.8352 0.2316
0.2387 0.2864 0.3741
0.2506 0.0006 0.0013
0.7494 0.9994 0.9987
0.3473 0.5973 0.1946
0.6527 0.4027 0.8054
```


No. 2
Here is PrDyHgPt after structural relaxation from Alexandria via LeMat-Bulk. Energies are from PBE.

Output
Density   11.69 g cm⁻³
Space-group type   No. 216
Formation enthalpy at 0 K   -0.741 eV per atom
N(E_F)   0.803 states/eV/atom
Total energy   -18.69 eV per cell

POSCAR file:
```
PrDyHgPt
1.0
5.1976 0.0000 0.0000
2.5988 4.5012 0.0000
2.5988 1.5004 4.2438
Pr Dy Hg Pt
1 1 1 1
Direct
0.5000 0.5000 0.5000
0.0000 0.0000 0.0000
0.7500 0.7500 0.7500
0.2500 0.2500 0.2500
```